DFT (PBE-GGA) results for a relaxed HfV2Fe crystal.

For the energy above the most stable polymorph in this dataset, the calculation gives 0.2946 eV/atom. The total energy comes out at -141.70 eV per cell. Its crystal system is tetragonal. For the total magnetization, the calculation gives 0.0 μB/f.u. The value obtained for the formation energy is 0.3073 eV per atom.

It has space group I-42d (No. 122), with a = 6.9201 Å, b = 6.9201 Å, c = 5.1990 Å, α = 90.00°, β = 90.00° and γ = 90.00°. Symmetry generates all atoms from Hf at (0.0000, 0.0000, 0.0000), V at (0.1947, 0.7500, 0.6250) and Fe at (0.0000, 0.0000, 0.5000).